Compound: Mn2VInO
Source: the Alexandria database
Functional: PBE with a Hubbard U
Structure: relaxed

Calculated values
Total magnetization = 6.02 μB per cell
Uncorrected energy = -5.99 eV/atom
Crystal system = tetragonal

a b c (Å): 4.1430 5.2501 4.1430
angles (deg): 90.00 90.00 90.00
Closest atoms and distances in Å follow each position.
Sites, in units of the cell vectors:
Mn1 0.0000 0.0000 0.5000  2 O 2.07
O1 0.0000 0.0000 0.0000  4 Mn 2.07
Mn2 0.5000 0.0000 0.0000  2 O 2.07
In1 0.0000 0.5000 0.0000  2 O 2.63, 4 V 2.93
V1 0.5000 0.5000 0.5000  4 In 2.93